# PmEuTlHg | Alexandria via LeMat-Bulk | PBE | optimized geometry
# Spin magnetization in Bohr magnetons per cell: 29.4
# DFT total energy in eV per cell: -77.96
# Formation energy from the elements in eV per atom: -0.449
data_PmEuTlHg
_cell_length_a 7.7830
_cell_length_b 7.7830
_cell_length_c 7.7830
_cell_angle_alpha 90.00
_cell_angle_beta 90.00
_cell_angle_gamma 90.00
_symmetry_space_group_name_H-M 'F -4 3 m'
_symmetry_Int_Tables_number 216
_symmetry_space_group_name_Hall 'F -4 2 3'
loop_
_atom_site_label
_atom_site_fract_x
_atom_site_fract_y
_atom_site_fract_z
_atom_site_occupancy
Pm1 0.0000 0.0000 0.0000 1
Eu1 0.0000 0.0000 0.5000 1
Tl1 0.2500 0.2500 0.7500 1
Hg1 0.2500 0.2500 0.2500 1